Record 1
VASP calculation (PBE-GGA) on a geometry-optimized LiAgMo structure.

Space group: Pnma, No. 62
ΔE to the lowest computed polymorph (meV/atom): 539
Fermi-level density of states (states/eV/f.u.): 1.4
Final energy (eV/atom): -4.3865
Spin magnetization (μB per atom): 0.00
Crystal system: orthorhombic

Cell and atoms, written as extended XYZ:
```
12
Lattice="9.393 0.000 0.000 0.000 4.993 0.000 0.000 0.000 5.040" Properties=species:S:1:pos:R:3 pbc="T T T"
Li 2.268 1.248 0.017
Li 2.429 3.744 2.537
Li 6.964 1.248 2.503
Li 7.125 3.744 5.023
Ag 0.000 0.000 2.520
Ag 0.000 2.496 2.520
Ag 4.696 0.000 0.000
Ag 4.696 2.496 0.000
Mo 0.386 3.744 0.001
Mo 4.310 1.248 2.521
Mo 5.082 3.744 2.519
Mo 9.007 1.248 5.039
```

Record 2
VASP calculation (PBE-GGA) on a geometry-optimized LiAg4Mo structure.

Space group: F-43m, No. 216
Fermi-level density of states (states/eV/f.u.): 3.1
Final energy (eV/atom): -3.5220
Spin magnetization (μB per atom): 0.66
Crystal system: cubic

Cell and atoms, written as extended XYZ:
```
6
Lattice="0.000 3.863 3.863 3.863 0.000 3.863 3.863 3.863 0.000" Properties=species:S:1:pos:R:3 pbc="T T T"
Li 0.000 0.000 0.000
Ag 2.897 2.897 2.897
Ag 4.829 4.829 2.897
Ag 4.829 2.897 4.829
Ag 2.897 4.829 4.829
Mo 5.795 5.795 5.795
```

Record 3
VASP calculation (PBE-GGA) on a geometry-optimized LiAg2Mo structure.

Space group: Pmm2, No. 25
ΔE to the lowest computed polymorph (meV/atom): 82
Fermi-level density of states (states/eV/f.u.): 2.3
Final energy (eV/atom): -4.3136
Spin magnetization (μB per atom): 0.00
Crystal system: orthorhombic

Cell and atoms, written as extended XYZ:
```
4
Lattice="2.693 0.000 0.000 0.000 4.757 0.000 0.000 0.000 5.127" Properties=species:S:1:pos:R:3 pbc="T T T"
Li 0.000 0.000 0.000
Ag 1.347 0.000 2.522
Ag 1.347 2.378 0.686
Mo 0.000 2.378 3.267
```

Record 4
VASP calculation (PBE-GGA) on a geometry-optimized LiAg2Mo structure.

Space group: Cmmm, No. 65
ΔE to the lowest computed polymorph (meV/atom): 97
Fermi-level density of states (states/eV/f.u.): 3.0
Final energy (eV/atom): -4.2993
Spin magnetization (μB per atom): 0.11
Crystal system: orthorhombic

Cell and atoms, written as extended XYZ:
```
4
Lattice="3.210 -3.851 0.000 3.210 3.851 0.000 0.000 0.000 2.703" Properties=species:S:1:pos:R:3 pbc="T T T"
Li 0.000 0.000 0.000
Ag 1.605 1.926 1.351
Ag 1.605 -1.926 1.351
Mo 3.210 0.000 0.000
```

Record 5
VASP calculation (PBE-GGA) on a geometry-optimized LiAg2Mo structure.

Space group: P2/m, No. 10
ΔE to the lowest computed polymorph (meV/atom): 135
Fermi-level density of states (states/eV/f.u.): 2.4
Final energy (eV/atom): -4.2606
Spin magnetization (μB per atom): 0.07
Crystal system: monoclinic

Cell and atoms, written as extended XYZ:
```
4
Lattice="2.676 0.000 0.000 0.000 4.170 0.000 -0.012 0.000 5.913" Properties=species:S:1:pos:R:3 pbc="T T T"
Li 0.000 0.000 0.000
Ag 1.333 2.085 1.472
Ag 1.331 2.085 4.441
Mo -0.006 0.000 2.957
```

Record 6
VASP calculation (PBE-GGA) on a geometry-optimized LiAgMo structure.

Space group: Pnma, No. 62
ΔE to the lowest computed polymorph (meV/atom): 152
Fermi-level density of states (states/eV/f.u.): 2.1
Final energy (eV/atom): -4.7737
Spin magnetization (μB per atom): 0.00
Crystal system: orthorhombic

Cell and atoms, written as extended XYZ:
```
12
Lattice="4.705 0.000 0.000 0.000 4.859 0.000 0.000 0.000 8.363" Properties=species:S:1:pos:R:3 pbc="T T T"
Li 0.745 1.215 0.228
Li 1.608 3.645 4.410
Li 3.097 1.215 3.953
Li 3.960 3.645 8.135
Ag 0.792 1.215 2.991
Ag 1.560 3.645 7.173
Ag 3.145 1.215 1.190
Ag 3.913 3.645 5.372
Mo 0.566 1.215 5.881
Mo 1.787 3.645 1.700
Mo 2.918 1.215 6.663
Mo 4.139 3.645 2.482
```

Record 7
VASP calculation (PBE-GGA) on a geometry-optimized LiAgMo structure.

Space group: Fmm2, No. 42
ΔE to the lowest computed polymorph (meV/atom): 42
Fermi-level density of states (states/eV/f.u.): 1.6
Final energy (eV/atom): -4.8832
Spin magnetization (μB per atom): 0.00
Crystal system: orthorhombic

Cell and atoms, written as extended XYZ:
```
3
Lattice="0.000 2.118 7.154 1.597 0.000 7.154 1.597 2.118 0.000" Properties=species:S:1:pos:R:3 pbc="T T T"
Li 0.000 0.000 0.000
Ag 1.597 2.118 4.857
Mo 1.597 2.118 9.544
```

Record 8
VASP calculation (PBE-GGA) on a geometry-optimized LiAgMo structure.

Space group: P-6m2, No. 187
ΔE to the lowest computed polymorph (meV/atom): 231
Fermi-level density of states (states/eV/f.u.): 1.9
Final energy (eV/atom): -4.6945
Spin magnetization (μB per atom): 0.31
Crystal system: hexagonal

Cell and atoms, written as extended XYZ:
```
3
Lattice="4.563 0.000 0.000 -2.282 3.952 0.000 0.000 0.000 2.615" Properties=species:S:1:pos:R:3 pbc="T T T"
Li 0.000 0.000 0.000
Ag 0.000 2.634 0.000
Mo 2.282 1.317 1.308
```

Record 9
VASP calculation (PBE-GGA) on a geometry-optimized LiAgMo structure.

Space group: Imm2, No. 44
ΔE to the lowest computed polymorph (meV/atom): 305
Fermi-level density of states (states/eV/f.u.): 3.2
Final energy (eV/atom): -4.6204
Spin magnetization (μB per atom): 0.00
Crystal system: orthorhombic

Cell and atoms, written as extended XYZ:
```
3
Lattice="-1.306 2.093 4.341 1.306 -2.093 4.341 1.306 2.093 -4.341" Properties=species:S:1:pos:R:3 pbc="T T T"
Li 0.000 0.000 0.000
Ag 0.000 0.000 2.982
Mo 0.000 0.000 5.838
```

Record 10
VASP calculation (PBE-GGA) on a geometry-optimized Li4AgMo structure.

Space group: F-43m, No. 216
Fermi-level density of states (states/eV/f.u.): 1.4
Final energy (eV/atom): -3.1199
Spin magnetization (μB per atom): 0.43
Crystal system: cubic

Cell and atoms, written as extended XYZ:
```
6
Lattice="0.000 3.568 3.568 3.568 0.000 3.568 3.568 3.568 0.000" Properties=species:S:1:pos:R:3 pbc="T T T"
Li 0.890 0.890 0.890
Li 2.678 2.678 0.890
Li 2.678 0.890 2.678
Li 0.890 2.678 2.678
Ag 3.568 3.568 3.568
Mo 5.352 5.352 5.352
```

Record 11
VASP calculation (PBE-GGA) on a geometry-optimized LiAg2Mo structure.

Space group: Immm, No. 71
ΔE to the lowest computed polymorph (meV/atom): 314
Fermi-level density of states (states/eV/f.u.): 4.1
Final energy (eV/atom): -4.0823
Spin magnetization (μB per atom): 0.00
Crystal system: orthorhombic

Cell and atoms, written as extended XYZ:
```
4
Lattice="-1.355 2.466 4.834 1.355 -2.466 4.834 1.355 2.466 -4.834" Properties=species:S:1:pos:R:3 pbc="T T T"
Li 0.000 0.000 0.000
Ag 1.355 0.000 2.256
Ag 0.000 2.466 2.578
Mo 0.000 0.000 4.834
```

Record 12
VASP calculation (PBE-GGA) on a geometry-optimized LiAg2Mo structure.

Space group: C2/m, No. 12
ΔE to the lowest computed polymorph (meV/atom): 238
Fermi-level density of states (states/eV/f.u.): 3.0
Final energy (eV/atom): -4.1580
Spin magnetization (μB per atom): 0.18
Crystal system: monoclinic

Cell and atoms, written as extended XYZ:
```
4
Lattice="4.689 -1.337 0.000 4.689 1.337 0.000 -0.555 0.000 5.312" Properties=species:S:1:pos:R:3 pbc="T T T"
Li 0.000 0.000 0.000
Ag 1.906 0.000 4.002
Ag 6.918 0.000 1.310
Mo 4.412 0.000 2.656
```

Record 13
VASP calculation (PBE-GGA) on a geometry-optimized LiAg2Mo structure.

Space group: Pmmm, No. 47
ΔE to the lowest computed polymorph (meV/atom): 303
Fermi-level density of states (states/eV/f.u.): 2.8
Final energy (eV/atom): -4.0927
Spin magnetization (μB per atom): 0.00
Crystal system: orthorhombic

Cell and atoms, written as extended XYZ:
```
4
Lattice="2.705 0.000 0.000 0.000 4.955 0.000 0.000 0.000 4.994" Properties=species:S:1:pos:R:3 pbc="T T T"
Li 0.000 0.000 0.000
Ag 0.000 2.477 2.497
Ag 1.352 2.477 0.000
Mo 1.352 0.000 2.497
```

Record 14
VASP calculation (PBE-GGA) on a geometry-optimized Li2NiAgMo structure.

Space group: P4/mmm, No. 123
Fermi-level density of states (states/eV/f.u.): 3.4
Final energy (eV/atom): -3.5803
Spin magnetization (μB per atom): 0.81
Crystal system: tetragonal

Cell and atoms, written as extended XYZ:
```
5
Lattice="4.355 0.000 0.000 0.000 4.355 0.000 0.000 0.000 4.840" Properties=species:S:1:pos:R:3 pbc="T T T"
Li 0.000 2.177 0.000
Li 2.177 0.000 0.000
Ni 0.000 0.000 2.420
Ag 0.000 0.000 0.000
Mo 2.177 2.177 2.420
```